# DyLuAlOs (PBE, optimized geometry)
# SG: F-43m, No. 216
# DOS(E_F) (states/eV/cell): 2.013
# Energy of formation from the pure elements (eV/atom): -0.3131
data_DyLuAlOs
_cell_length_a 4.887
_cell_length_b 4.887
_cell_length_c 4.887
_cell_angle_alpha 60.00
_cell_angle_beta 60.00
_cell_angle_gamma 60.00
_space_group_name_H-M_alt 'P 1'
_space_group_IT_number 1
_space_group_name_Hall 'P 1'
loop_
_atom_site_label
_atom_site_fract_x
_atom_site_fract_y
_atom_site_fract_z
_atom_site_occupancy
Al1 0.750 0.750 0.750 1
Lu1 0.500 0.500 0.500 1
Os1 0.250 0.250 0.250 1
Dy1 0.000 0.000 0.000 1


# Na2ScAsS4 (PBE, optimized geometry)
# SG: Imma, No. 74
# Uncorrected formation energy (eV per atom): -1.121
data_Na2ScAsS4
_cell_length_a 7.709
_cell_length_b 7.709
_cell_length_c 7.702
_cell_angle_alpha 119.96
_cell_angle_beta 119.96
_cell_angle_gamma 90.10
_space_group_name_H-M_alt 'P 1'
_space_group_IT_number 1
_space_group_name_Hall 'P 1'
loop_
_atom_site_label
_atom_site_fract_x
_atom_site_fract_y
_atom_site_fract_z
_atom_site_occupancy
Na1 0.500 0.500 0.000 1
As1 0.500 0.500 0.500 1
S1 0.761 0.739 0.520 1
As2 0.000 0.000 0.000 1
Na2 0.500 0.000 0.000 1
S2 0.241 0.718 0.480 1
Na3 0.500 0.000 0.500 1
S3 0.218 0.741 0.980 1
S4 0.239 0.261 0.480 1
S5 0.239 0.261 0.020 1
Sc1 0.000 0.500 0.000 1
Sc2 0.000 0.500 0.500 1
S6 0.761 0.739 0.980 1
Na4 0.000 0.000 0.500 1
S7 0.759 0.282 0.520 1
S8 0.782 0.259 0.020 1


# Te3Se (PBE, optimized geometry)
# SG: Pnma, No. 62
# DOS(E_F) (states/eV/cell): 6.316
# Uncorrected formation energy (eV per atom): 0.147
data_Te3Se
_cell_length_a 8.121
_cell_length_b 9.395
_cell_length_c 7.686
_cell_angle_alpha 90.00
_cell_angle_beta 90.00
_cell_angle_gamma 90.00
_space_group_name_H-M_alt 'P 1'
_space_group_IT_number 1
_space_group_name_Hall 'P 1'
loop_
_atom_site_label
_atom_site_fract_x
_atom_site_fract_y
_atom_site_fract_z
_atom_site_occupancy
Te1 0.391 0.415 0.750 1
Te2 0.609 0.585 0.250 1
Se1 0.422 0.012 0.250 1
Te3 0.334 0.825 0.492 1
Te4 0.834 0.675 0.992 1
Te5 0.166 0.325 0.008 1
Te6 0.334 0.825 0.008 1
Se2 0.078 0.512 0.250 1
Te7 0.891 0.085 0.250 1
Se3 0.922 0.488 0.750 1
Te8 0.166 0.325 0.492 1
Se4 0.578 0.988 0.750 1
Te9 0.666 0.175 0.992 1
Te10 0.834 0.675 0.508 1
Te11 0.109 0.915 0.750 1
Te12 0.666 0.175 0.508 1


# Cd2HgMo (PBE, optimized geometry)
# SG: Pmm2, No. 25
# DOS(E_F) (states/eV/cell): 3.046
# Energy of formation from the pure elements (eV/atom): 0.4672
data_Cd2HgMo
_cell_length_a 2.925
_cell_length_b 4.393
_cell_length_c 6.135
_cell_angle_alpha 90.00
_cell_angle_beta 90.00
_cell_angle_gamma 90.00
_space_group_name_H-M_alt 'P 1'
_space_group_IT_number 1
_space_group_name_Hall 'P 1'
loop_
_atom_site_label
_atom_site_fract_x
_atom_site_fract_y
_atom_site_fract_z
_atom_site_occupancy
Cd1 0.500 0.500 0.246 1
Cd2 0.000 0.000 0.987 1
Hg1 0.000 0.000 0.516 1
Mo1 0.500 0.500 0.751 1


# Sr3CrAs (PBE, optimized geometry)
# SG: Pm-3m, No. 221
# DOS(E_F) (states/eV/cell): 4.108
# Excess energy over the best structure of this formula in the dataset (meV per atom): 0
# Energy of formation from the pure elements (eV/atom): -0.0548
data_Sr3CrAs
_cell_length_a 5.986
_cell_length_b 5.986
_cell_length_c 5.986
_cell_angle_alpha 90.00
_cell_angle_beta 90.00
_cell_angle_gamma 90.00
_space_group_name_H-M_alt 'P 1'
_space_group_IT_number 1
_space_group_name_Hall 'P 1'
loop_
_atom_site_label
_atom_site_fract_x
_atom_site_fract_y
_atom_site_fract_z
_atom_site_occupancy
As1 0.000 0.000 0.000 1
Sr1 0.000 0.500 0.000 1
Sr2 0.000 0.000 0.500 1
Sr3 0.500 0.000 0.000 1
Cr1 0.500 0.500 0.500 1


# GdDyZnFe (PBE, optimized geometry)
# SG: F-43m, No. 216
# DOS(E_F) (states/eV/cell): 4.273
# Energy of formation from the pure elements (eV/atom): -0.0465
data_GdDyZnFe
_cell_length_a 4.921
_cell_length_b 4.921
_cell_length_c 4.921
_cell_angle_alpha 60.00
_cell_angle_beta 60.00
_cell_angle_gamma 60.00
_space_group_name_H-M_alt 'P 1'
_space_group_IT_number 1
_space_group_name_Hall 'P 1'
loop_
_atom_site_label
_atom_site_fract_x
_atom_site_fract_y
_atom_site_fract_z
_atom_site_occupancy
Gd1 0.250 0.250 0.250 1
Zn1 0.000 0.000 0.000 1
Fe1 0.500 0.500 0.500 1
Dy1 0.750 0.750 0.750 1


# Tl2In2Cl5 (PBE, optimized geometry)
# SG: Ima2, No. 46
# DOS(E_F) (states/eV/cell): 3.724
# Excess energy over the best structure of this formula in the dataset (meV per atom): 0
# Uncorrected formation energy (eV per atom): -0.925
data_Tl2In2Cl5
_cell_length_a 7.612
_cell_length_b 7.702
_cell_length_c 12.111
_cell_angle_alpha 108.54
_cell_angle_beta 108.32
_cell_angle_gamma 90.00
_space_group_name_H-M_alt 'P 1'
_space_group_IT_number 1
_space_group_name_Hall 'P 1'
loop_
_atom_site_label
_atom_site_fract_x
_atom_site_fract_y
_atom_site_fract_z
_atom_site_occupancy
Cl1 0.766 0.216 0.027 1
Cl2 0.234 0.190 0.973 1
Tl1 0.863 0.408 0.776 1
In1 0.000 0.954 0.000 1
Cl3 0.561 0.549 0.254 1
Cl4 0.808 0.796 0.746 1
Cl5 0.131 0.747 0.500 1
Tl2 0.137 0.632 0.224 1
Tl3 0.587 0.132 0.224 1
In2 0.774 0.843 0.500 1
Cl6 0.869 0.247 0.500 1
Cl7 0.760 0.716 0.027 1
Cl8 0.192 0.049 0.254 1
Cl9 0.240 0.690 0.973 1
In3 0.226 0.343 0.500 1
Cl10 0.439 0.296 0.746 1
Tl4 0.413 0.908 0.776 1
In4 0.500 0.454 0.000 1


# GdThBi2 (PBE, optimized geometry)
# SG: Fm-3m, No. 225
# DOS(E_F) (states/eV/cell): 4.059
# Excess energy over the best structure of this formula in the dataset (meV per atom): 151
# Energy of formation from the pure elements (eV/atom): -0.5959
data_GdThBi2
_cell_length_a 5.559
_cell_length_b 5.559
_cell_length_c 5.559
_cell_angle_alpha 60.00
_cell_angle_beta 60.00
_cell_angle_gamma 60.00
_space_group_name_H-M_alt 'P 1'
_space_group_IT_number 1
_space_group_name_Hall 'P 1'
loop_
_atom_site_label
_atom_site_fract_x
_atom_site_fract_y
_atom_site_fract_z
_atom_site_occupancy
Bi1 0.750 0.750 0.750 1
Th1 0.000 0.000 0.000 1
Gd1 0.500 0.500 0.500 1
Bi2 0.250 0.250 0.250 1


# LiNbSnRh (PBE, optimized geometry)
# SG: F-43m, No. 216
# DOS(E_F) (states/eV/cell): 3.358
# Energy of formation from the pure elements (eV/atom): -0.3326
data_LiNbSnRh
_cell_length_a 4.512
_cell_length_b 4.512
_cell_length_c 4.512
_cell_angle_alpha 60.00
_cell_angle_beta 60.00
_cell_angle_gamma 60.00
_space_group_name_H-M_alt 'P 1'
_space_group_IT_number 1
_space_group_name_Hall 'P 1'
loop_
_atom_site_label
_atom_site_fract_x
_atom_site_fract_y
_atom_site_fract_z
_atom_site_occupancy
Sn1 0.000 0.000 0.000 1
Rh1 0.750 0.750 0.750 1
Nb1 0.500 0.500 0.500 1
Li1 0.250 0.250 0.250 1


# BaAcRh2 (PBE, optimized geometry)
# SG: R-3m, No. 166
# DOS(E_F) (states/eV/cell): 3.600
# Excess energy over the best structure of this formula in the dataset (meV per atom): 0
# Energy of formation from the pure elements (eV/atom): -0.2949
data_BaAcRh2
_cell_length_a 4.838
_cell_length_b 4.838
_cell_length_c 6.537
_cell_angle_alpha 68.28
_cell_angle_beta 68.28
_cell_angle_gamma 60.00
_space_group_name_H-M_alt 'P 1'
_space_group_IT_number 1
_space_group_name_Hall 'P 1'
loop_
_atom_site_label
_atom_site_fract_x
_atom_site_fract_y
_atom_site_fract_z
_atom_site_occupancy
Rh1 0.303 0.303 0.092 1
Ba1 0.500 0.500 0.500 1
Ac1 0.000 0.000 0.000 1
Rh2 0.697 0.697 0.908 1


# Mg2BeCr (PBE, optimized geometry)
# SG: P4/mmm, No. 123
# DOS(E_F) (states/eV/cell): 3.006
# Energy of formation from the pure elements (eV/atom): 0.4407
data_Mg2BeCr
_cell_length_a 4.154
_cell_length_b 3.930
_cell_length_c 3.930
_cell_angle_alpha 90.00
_cell_angle_beta 90.00
_cell_angle_gamma 90.00
_space_group_name_H-M_alt 'P 1'
_space_group_IT_number 1
_space_group_name_Hall 'P 1'
loop_
_atom_site_label
_atom_site_fract_x
_atom_site_fract_y
_atom_site_fract_z
_atom_site_occupancy
Cr1 0.500 0.000 0.500 1
Be1 0.500 0.500 0.000 1
Mg1 0.000 0.000 0.000 1
Mg2 0.000 0.500 0.500 1


# Dy2Ga2Ag3 (PBE, optimized geometry)
# SG: Cmcm, No. 63
# DOS(E_F) (states/eV/cell): 9.342
# Excess energy over the best structure of this formula in the dataset (meV per atom): 43
# Energy of formation from the pure elements (eV/atom): -0.2973
data_Dy2Ga2Ag3
_cell_length_a 4.268
_cell_length_b 7.132
_cell_length_c 10.150
_cell_angle_alpha 90.00
_cell_angle_beta 102.14
_cell_angle_gamma 90.00
_space_group_name_H-M_alt 'P 1'
_space_group_IT_number 1
_space_group_name_Hall 'P 1'
loop_
_atom_site_label
_atom_site_fract_x
_atom_site_fract_y
_atom_site_fract_z
_atom_site_occupancy
Ag1 0.436 0.941 0.873 1
Dy1 0.840 0.750 0.681 1
Ga1 0.689 0.554 0.378 1
Ag2 0.778 0.250 0.556 1
Ag3 0.436 0.559 0.873 1
Ga2 0.311 0.446 0.622 1
Ag4 0.222 0.750 0.444 1
Ga3 0.689 0.946 0.378 1
Ag5 0.564 0.059 0.127 1
Dy2 0.947 0.250 0.895 1
Ga4 0.311 0.054 0.622 1
Dy3 0.160 0.250 0.319 1
Dy4 0.053 0.750 0.105 1
Ag6 0.564 0.441 0.127 1


Repeat the eleventh record exactly.
# Mg2BeCr (PBE, optimized geometry)
# SG: P4/mmm, No. 123
# DOS(E_F) (states/eV/cell): 3.006
# Energy of formation from the pure elements (eV/atom): 0.4407
data_Mg2BeCr
_cell_length_a 4.154
_cell_length_b 3.930
_cell_length_c 3.930
_cell_angle_alpha 90.00
_cell_angle_beta 90.00
_cell_angle_gamma 90.00
_space_group_name_H-M_alt 'P 1'
_space_group_IT_number 1
_space_group_name_Hall 'P 1'
loop_
_atom_site_label
_atom_site_fract_x
_atom_site_fract_y
_atom_site_fract_z
_atom_site_occupancy
Cr1 0.500 0.000 0.500 1
Be1 0.500 0.500 0.000 1
Mg1 0.000 0.000 0.000 1
Mg2 0.000 0.500 0.500 1